Record 1
Pt7C | PBE | optimized geometry

a b c (Å): 5.5512 5.5512 5.5512
angles (deg): 60.00 60.00 60.00
Positions (direct):
Pt (0.0000, 0.0000, 0.0000)
Pt (0.0000, 0.0000, 0.5000)
Pt (0.0000, 0.5000, 0.0000)
Pt (0.0000, 0.5000, 0.5000)
Pt (0.5000, 0.0000, 0.0000)
Pt (0.5000, 0.0000, 0.5000)
Pt (0.5000, 0.5000, 0.0000)
C (0.5000, 0.5000, 0.5000)

The calculation puts the energy of formation from the pure elements at 0.655 eV per atom. Its symmetry is Fm-3m, No. 225. As for the density: 18.912 g/cm³.



Record 2
PtC3 | PBE | optimized geometry

a b c (Å): 2.6277 2.6277 5.0140
angles (deg): 90.00 90.00 90.00
Positions (direct):
Pt (0.0000, 0.0000, 0.0000)
C (0.0000, 0.5000, 0.6702)
C (0.5000, 0.0000, 0.3298)
C (0.5000, 0.5000, 0.5000)

The calculation puts the energy of formation from the pure elements at 0.703 eV per atom. Its symmetry is P-4m2, No. 115. As for the density: 11.085 g/cm³.



Record 3
PtC3 | PBE | optimized geometry

a b c (Å): 2.5601 2.5601 8.4766
angles (deg): 90.00 90.00 120.00
Positions (direct):
Pt (0.0000, 0.0000, 0.0000)
C (0.0000, 0.0000, 0.5000)
C (0.3333, 0.6667, 0.4035)
C (0.3333, 0.6667, 0.5965)

The calculation puts the energy of formation from the pure elements at 2.230 eV per atom. Its symmetry is P-6m2, No. 187. As for the density: 7.977 g/cm³.



Record 4
PtC3 | PBE | optimized geometry

a b c (Å): 6.6326 6.6326 2.5621
angles (deg): 90.00 90.00 116.11
Positions (direct):
Pt (0.1118, 0.8882, 0.7500)
Pt (0.8882, 0.1118, 0.2500)
C (0.0134, 0.5491, 0.7500)
C (0.4509, 0.9866, 0.7500)
C (0.4992, 0.5008, 0.2500)
C (0.5008, 0.4992, 0.7500)
C (0.5491, 0.0134, 0.2500)
C (0.9866, 0.4509, 0.2500)

The calculation puts the energy of formation from the pure elements at 0.797 eV per atom. Its symmetry is Cmcm, No. 63. As for the density: 7.584 g/cm³.